# Sb2MoO6, relaxed, DFT PBE+U
# Mass density (g cm⁻³): 5.37
# Size of the total moment (μB/atom): 0.0000
# Volume (Å³/f.u.): 134.8
# Total energy (eV/atom): -6.458
data_Sb2MoO6
_chemical_formula_sum 'Sb8 Mo4 O24'
_cell_length_a 7.6635
_cell_length_b 7.6961
_cell_length_c 10.3657
_cell_angle_alpha 69.72
_cell_angle_beta 70.08
_cell_angle_gamma 83.99
_space_group_name_H-M_alt 'P -1'
_space_group_IT_number 2
loop_
_space_group_symop_operation_xyz
'x,y,z'
'-x,-y,-z'
loop_
_atom_site_label
_atom_site_type_symbol
_atom_site_fract_x
_atom_site_fract_y
_atom_site_fract_z
Sb1 Sb 0.0573 0.1240 0.1732
Sb2 Sb 0.1300 0.5569 0.1703
Sb3 Sb 0.3783 0.9249 0.8378
Sb4 Sb 0.4262 0.3704 0.8365
Mo1 Mo 0.2247 0.2726 0.5140
Mo2 Mo 0.2723 0.7758 0.4987
O1 O 0.0223 0.7491 0.4401
O2 O 0.0835 0.7258 0.6891
O3 O 0.1247 0.7950 0.9380
O4 O 0.1989 0.3742 0.0608
O5 O 0.2358 0.0825 0.6889
O6 O 0.2445 0.4701 0.5636
O7 O 0.2522 0.0228 0.4420
O8 O 0.2752 0.4018 0.3108
O9 O 0.3036 0.1128 0.9420
O10 O 0.3859 0.6917 0.0575
O11 O 0.4014 0.7631 0.3114
O12 O 0.4708 0.7490 0.5592